1.
Computed, not measured: a geometry-optimized Ti3Ga2 structure at the PBE level of DFT.

Cell lengths 9.7762, 3.8585, 9.2801 Å; angles 90.00, 90.00, 90.00 degrees
Closest atoms and distances in Å follow each position.
Element x y z (fractional)
Ti 0.0411 0.2500 0.1095  5 Ga 2.68-2.88, 5 Ti 2.91-2.98
Ti 0.0947 0.7500 0.5951  5 Ga 2.61-2.71
Ti 0.1756 0.2500 0.8209  5 Ga 2.58-2.85
Ti 0.3244 0.7500 0.3209  5 Ga 2.58-2.85
Ti 0.4053 0.2500 0.0951  5 Ga 2.61-2.71
Ti 0.4589 0.7500 0.6095  5 Ga 2.68-2.88, 5 Ti 2.91-2.98
Ti 0.5411 0.2500 0.3905  5 Ga 2.68-2.88, 5 Ti 2.91-2.98
Ti 0.5947 0.7500 0.9049  5 Ga 2.61-2.71
Ti 0.6756 0.2500 0.6791  5 Ga 2.58-2.85
Ti 0.8244 0.7500 0.1791  5 Ga 2.58-2.85
Ti 0.9053 0.2500 0.4049  5 Ga 2.61-2.71
Ti 0.9589 0.7500 0.8905  5 Ga 2.68-2.88, 5 Ti 2.91-2.98
Ga 0.0605 0.7500 0.3082  7 Ti 2.58-2.68
Ga 0.2202 0.7500 0.0335  8 Ti 2.70-2.88, 1 Ga 2.99
Ga 0.2798 0.2500 0.5335  8 Ti 2.70-2.88, 1 Ga 2.99
Ga 0.4395 0.2500 0.8082  7 Ti 2.58-2.68
Ga 0.5605 0.7500 0.1918  7 Ti 2.58-2.68
Ga 0.7202 0.7500 0.4665  8 Ti 2.70-2.88, 1 Ga 2.99
Ga 0.7798 0.2500 0.9665  8 Ti 2.70-2.88, 1 Ga 2.99
Ga 0.9395 0.2500 0.6918  7 Ti 2.58-2.68

Calculated values
Its volume is 350 Å³/cell. The density of states at the Fermi level is 5.37 states/eV/f.u. The calculation puts the formation energy at -0.202 eV/atom. The calculation puts the density at 5371 kg/m³. As for the total energy: -0.452 Ry per atom.


2.
Computed, not measured: a geometry-optimized SrSnB2Os structure at the PBE level of DFT.

Cell lengths 4.3086, 4.3086, 5.6680 Å; angles 90.00, 90.00, 90.00 degrees
Closest atoms and distances in Å follow each position.
Element x y z (fractional)
Sr 0.0000 0.0000 0.0000  2 Os 2.83, 4 Sn 3.05
Sn 0.5000 0.5000 0.0000  4 Sr 3.05
B 0.0000 0.5000 0.5000  2 Os 2.15
B 0.5000 0.0000 0.5000  2 Os 2.15
Os 0.0000 0.0000 0.5000  4 B 2.15

Calculated values
Its volume is 105 Å³/cell. The density of states at the Fermi level is 3.90 states/eV/f.u. The calculation puts the formation energy at 0.942 eV/atom. The calculation puts the density at 6599 kg/m³. As for the total energy: -0.376 Ry per atom.


3.
Computed, not measured: a geometry-optimized AlHgBr2 structure at the PBE level of DFT.

Cell lengths 4.1379, 4.3190, 6.9873 Å; angles 90.00, 90.00, 90.00 degrees
Closest atoms and distances in Å follow each position.
Element x y z (fractional)
Al 0.0000 0.0000 0.0000  4 Br 2.99
Hg 0.0000 0.5000 0.5000  4 Br 2.99
Br 0.5000 0.0000 0.5000  4 Hg 2.99
Br 0.5000 0.5000 0.0000  4 Al 2.99

Calculated values
The energy relative to the lowest polymorph listed for this composition is 161.5 kJ/mol of formula units. Its volume is 125 Å³/cell. The density of states at the Fermi level is 1.15 states/eV/f.u. The calculation puts the density at 5151 kg/m³. As for the total energy: -0.143 Ry per atom.


4.
Computed, not measured: a geometry-optimized MnSnAsPtI structure at the PBE level of DFT.

Cell lengths 4.0824, 4.0824, 8.8391 Å; angles 104.81, 104.81, 60.01 degrees
Closest atoms and distances in Å follow each position.
Element x y z (fractional)
Mn 0.0000 0.0000 0.0000  3 As 2.50
Sn 0.4006 0.4006 0.1826  3 Pt 2.68-2.69, 3 Mn 2.82
As 0.6305 0.6305 0.9009  3 Mn 2.50
Pt 0.1238 0.1238 0.3351  3 Sn 2.68-2.69, 1 Mn 2.83, 3 I 2.86
I 0.8608 0.8608 0.5260  3 Pt 2.86

Calculated values
The energy relative to the lowest polymorph listed for this composition is 57.1 kJ/mol of formula units. Its volume is 122 Å³/cell. The density of states at the Fermi level is 2.19 states/eV/f.u. The calculation puts the density at 7772 kg/m³. As for the total energy: -0.383 Ry per atom.